LiVF2: relaxed, PBE with a Hubbard U.

The density of states at the Fermi level is 5.0 states/eV per cell. Its volume is 12.46 Å³/atom. As for the offset from the most stable computed form: 0 meV per atom.

Unit cell a=3.0478 b=3.0478 c=18.5929 alpha=90.00 beta=90.00 gamma=120.00
Space group R-3m (No. 166, hexagonal axes)
Symmetry-distinct sites (fractional):
Li: 0.0000 0.0000 0.0000
V: 0.0000 0.0000 0.5000
F: 0.0000 0.0000 0.3920